# ScCoPt2

A relaxed structure of ScCoPt2 (PBE, Alexandria).

Geometry as CIF:
```
data_ScCoPt2
_chemical_formula_sum 'Sc3 Co3 Pt6'
_symmetry_space_group_name_H-M 'R -3 m'
_symmetry_Int_Tables_number 166
_symmetry_space_group_name_Hall '-R 3 2"'
_cell_length_a 2.8745
_cell_length_b 2.8745
_cell_length_c 26.2689
_cell_angle_alpha 90.00
_cell_angle_beta 90.00
_cell_angle_gamma 120.00
loop_
_atom_site_label
_atom_site_type_symbol
_atom_site_fract_x
_atom_site_fract_y
_atom_site_fract_z
Sc1 Sc 0.0000 0.0000 0.0000
Co1 Co 0.0000 0.0000 0.5000
Pt1 Pt 0.0000 0.0000 0.2467
```

Results
**ΔH_f (0 K)**: -26 kJ/mol of atoms
**V**: 188 Å³ per cell
**Total magnetization**: 0.54 μB/atom

---

# ScCoPt2

A relaxed structure of ScCoPt2 (PBE, Alexandria).

Geometry as CIF:
```
data_ScCoPt2
_chemical_formula_sum 'Sc2 Co2 Pt4'
_symmetry_space_group_name_H-M 'C m m m'
_symmetry_Int_Tables_number 65
_symmetry_space_group_name_Hall '-C 2 2'
_cell_length_a 5.6032
_cell_length_b 7.4474
_cell_length_c 2.9526
_cell_angle_alpha 90.00
_cell_angle_beta 90.00
_cell_angle_gamma 90.00
loop_
_atom_site_label
_atom_site_type_symbol
_atom_site_fract_x
_atom_site_fract_y
_atom_site_fract_z
Sc1 Sc 0.0000 0.0000 0.0000
Co1 Co 0.0000 0.5000 0.0000
Pt1 Pt 0.2500 0.2500 0.5000
```

Results
**ΔH_f (0 K)**: -59 kJ/mol of atoms
**V**: 123 Å³ per cell
**Total magnetization**: 0.42 μB/atom

---

# Sc2CoPt2

A relaxed structure of Sc2CoPt2 (PBE, Alexandria).

Geometry as CIF:
```
data_Sc2CoPt2
_chemical_formula_sum 'Sc4 Co2 Pt4'
_symmetry_space_group_name_H-M 'P 4/m b m'
_symmetry_Int_Tables_number 127
_symmetry_space_group_name_Hall '-P 4 2ab'
_cell_length_a 7.0108
_cell_length_b 7.0108
_cell_length_c 3.6257
_cell_angle_alpha 90.00
_cell_angle_beta 90.00
_cell_angle_gamma 90.00
loop_
_atom_site_label
_atom_site_type_symbol
_atom_site_fract_x
_atom_site_fract_y
_atom_site_fract_z
Sc1 Sc 0.1679 0.3321 0.0000
Co1 Co 0.0000 0.0000 0.5000
Pt1 Pt 0.1388 0.6388 0.5000
```

Results
**ΔH_f (0 K)**: -70 kJ/mol of atoms
**V**: 178 Å³ per cell
**Total magnetization**: 0.29 μB/atom
**Excess energy over the best structure of this formula in the dataset**: 0 meV/atom

---

# ScCo2Pt2

A relaxed structure of ScCo2Pt2 (PBE, Alexandria).

Geometry as CIF:
```
data_ScCo2Pt2
_chemical_formula_sum 'Sc2 Co4 Pt4'
_symmetry_space_group_name_H-M 'I 4/m m m'
_symmetry_Int_Tables_number 139
_symmetry_space_group_name_Hall '-I 4 2'
_cell_length_a 3.4656
_cell_length_b 3.4656
_cell_length_c 13.1107
_cell_angle_alpha 90.00
_cell_angle_beta 90.00
_cell_angle_gamma 90.00
loop_
_atom_site_label
_atom_site_type_symbol
_atom_site_fract_x
_atom_site_fract_y
_atom_site_fract_z
Sc1 Sc 0.0000 0.0000 0.0000
Co1 Co 0.0000 0.5000 0.2500
Pt1 Pt 0.0000 0.0000 0.3970
```

Results
**ΔH_f (0 K)**: -38 kJ/mol of atoms
**V**: 157 Å³ per cell
**Total magnetization**: 0.70 μB/atom
**Excess energy over the best structure of this formula in the dataset**: 0 meV/atom